A plane-wave DFT calculation with GGA-PBE was carried out for a geometry-optimized Pm5PrMg4 structure.

Total DFT energy (no corrections) in eV per atom: -3.56

Cell lengths 3.8164, 3.8164, 20.7799 Å; angles 90.00, 90.00, 90.00 degrees
Fractional positions:
Pm 0.5000 0.5000 0.1216
Pm 0.5000 0.5000 0.3117
Pm 0.5000 0.5000 0.5000
Pm 0.5000 0.5000 0.6883
Pm 0.5000 0.5000 0.8784
Pr 0.0000 0.0000 0.0000
Mg 0.0000 0.0000 0.2168
Mg 0.0000 0.0000 0.4055
Mg 0.0000 0.0000 0.5945
Mg 0.0000 0.0000 0.7832